# 1
Density functional theory data (PBE) for crystalline BaLaPtAu at its relaxed geometry.

a b c (Å): 7.630 7.630 7.630
angles (deg): 90.00 90.00 90.00
Space group F-43m (No. 216)
Asymmetric unit:
1 Ba 0.000 0.000 0.000 x4
2 La 0.000 0.000 0.500 x4
3 Pt 0.250 0.250 0.750 x4
4 Au 0.250 0.250 0.250 x4

Summary:
**Total energy**: -4.77 eV per atom
**Calculated volume**: 111.05 Å³/f.u.
**Total magnetic moment**: 0.0 μB/f.u.
**Energy of formation**: -723 meV per atom



# 2
Density functional theory data (PBE) for crystalline BaLa2ReAu at its relaxed geometry.

a b c (Å): 5.785 5.785 5.251
angles (deg): 90.00 90.00 90.00
Space group P4/mmm (No. 123)
Asymmetric unit:
1 Ba 0.000 0.000 0.000 x1
2 La 0.000 0.500 0.000 x2
3 Re 0.500 0.500 0.500 x1
4 Au 0.000 0.000 0.500 x1

Summary:
**Total energy**: -3.54 eV per atom
**Calculated volume**: 175.71 Å³/f.u.
**Total magnetic moment**: 0.0 μB/f.u.
**Energy of formation**: 1960 meV per atom